An optimized crystal structure of RbNaHgCl4, computed with PBE-GGA.

Cell lengths 6.8445, 7.5318, 8.9937 Å; angles 90.00, 100.51, 90.00 degrees
Space group P2_1/m (No. 11)
Unique sites:
Rb  0.1980  0.2500  0.0335 [2 per cell]
Na  0.1171  0.2500  0.5014 [2 per cell]
Hg  0.3036  0.7500  0.3133 [2 per cell]
Cl  0.0039  0.5117  0.2864 [4 per cell]
Cl  0.3439  0.7500  0.0479 [2 per cell]
Cl  0.4993  0.2500  0.4341 [2 per cell]

D(E_F) = 0.0 states/eV per cell
theoretical density = 3.28 g/cm³
DFT total energy = -38.42 eV per cell
magnetic moment = 0.000 μB/atom